Entry 1:
Compound: Sc3AlRh
Source: the Alexandria database
Functional: PBE-GGA
Structure: optimized geometry

For the density of states at the Fermi level, the calculation gives 11.5 states/eV/cell. The energy relative to the lowest polymorph listed for this composition comes out at 0.000 eV/atom. The total energy comes out at -6.5396 eV/atom.

The structure belongs to space group Pm-3m (No. 221); the cell edges are 6.6498, 6.6498 and 6.6498 Å and the angles 90.00°, 90.00° and 90.00°. The inequivalent atoms are Sc at (0.0000, 0.0000, 0.0000), Sc at (0.2652, 0.2652, 0.2652), Al at (0.0000, 0.0000, 0.5000) and Rh at (0.0000, 0.5000, 0.5000).



Entry 2:
Compound: Fe4Mo3
Source: the Alexandria database
Functional: PBE-GGA
Structure: optimized geometry

For the density of states at the Fermi level, the calculation gives 10.6 states/eV/cell. The energy relative to the lowest polymorph listed for this composition comes out at 0.000 eV/atom. The total energy comes out at -9.3818 eV/atom.

The structure belongs to space group I4/mmm (No. 139); the cell edges are 3.0523, 3.0523 and 20.2139 Å and the angles 90.00°, 90.00° and 90.00°. The inequivalent atoms are Fe at (0.0000, 0.0000, 0.0725), Fe at (0.0000, 0.0000, 0.3620), Mo at (0.0000, 0.0000, 0.2108) and Mo at (0.0000, 0.0000, 0.5000).



Entry 3:
Compound: Ac11La9Pr4
Source: the Alexandria database
Functional: PBE-GGA
Structure: optimized geometry

For the density of states at the Fermi level, the calculation gives 80.2 states/eV/cell. The total energy comes out at -4.4677 eV/atom.

The structure belongs to space group Cmmm (No. 65); the cell edges are 18.1124, 27.6902 and 3.9130 Å and the angles 90.00°, 90.00° and 90.00°. The inequivalent atoms are Ac at (0.0000, 0.0000, 0.0000), Ac at (0.0000, 0.1610, 0.0000), Ac at (0.0000, 0.3700, 0.0000), Ac at (0.2088, 0.5000, 0.0000), Ac at (0.2221, 0.1808, 0.0000), La at (0.0000, 0.5000, 0.5000), La at (0.1015, 0.2684, 0.5000), La at (0.1389, 0.0735, 0.5000) and Pr at (0.1595, 0.3978, 0.5000).



Entry 4:
Compound: YZrFeCo
Source: the Alexandria database
Functional: PBE-GGA
Structure: optimized geometry

For the density of states at the Fermi level, the calculation gives 7.7 states/eV/cell. The total energy comes out at -7.7038 eV/atom.

The structure belongs to space group F-43m (No. 216); the cell edges are 6.5144, 6.5144 and 6.5144 Å and the angles 90.00°, 90.00° and 90.00°. The inequivalent atoms are Y at (0.0000, 0.0000, 0.0000), Zr at (0.0000, 0.0000, 0.5000), Fe at (0.2500, 0.2500, 0.7500) and Co at (0.2500, 0.2500, 0.2500).



Entry 5:
Compound: Pr2NdSe4
Source: the Alexandria database
Functional: PBE-GGA
Structure: optimized geometry

For the density of states at the Fermi level, the calculation gives 5.6 states/eV/cell. The energy relative to the lowest polymorph listed for this composition comes out at 0.030 eV/atom. The total energy comes out at -5.8595 eV/atom. As for the raw formation energy: -1.822 eV per atom.

The structure belongs to space group C2/m (No. 12); the cell edges are 15.4776, 4.2849 and 7.5320 Å and the angles 90.00°, 116.38° and 90.00°. The inequivalent atoms are Pr at (0.2268, 0.0000, 0.2196), Nd at (0.0000, 0.5000, 0.5000), Se at (0.1227, 0.5000, 0.9348) and Se at (0.1383, 0.0000, 0.5046).



Entry 6:
Compound: ScV4W
Source: the Alexandria database
Functional: PBE-GGA
Structure: optimized geometry

For the density of states at the Fermi level, the calculation gives 54.0 states/eV/cell. The total energy comes out at -9.1783 eV/atom.

The structure belongs to space group F-43m (No. 216); the cell edges are 7.1511, 7.1511 and 7.1511 Å and the angles 90.00°, 90.00° and 90.00°. The inequivalent atoms are Sc at (0.0000, 0.0000, 0.0000), V at (0.1252, 0.1252, 0.6252) and W at (0.2500, 0.2500, 0.2500).



Entry 7:
Compound: Bi3IrF
Source: the Alexandria database
Functional: PBE-GGA
Structure: optimized geometry

For the density of states at the Fermi level, the calculation gives 4.6 states/eV/cell. The energy relative to the lowest polymorph listed for this composition comes out at 0.037 eV/atom. The total energy comes out at -4.2303 eV/atom. As for the raw formation energy: 0.245 eV per atom.

The structure belongs to space group Pm-3m (No. 221); the cell edges are 5.3774, 5.3774 and 5.3774 Å and the angles 90.00°, 90.00° and 90.00°. The inequivalent atoms are Bi at (0.0000, 0.0000, 0.5000), Ir at (0.0000, 0.0000, 0.0000) and F at (0.5000, 0.5000, 0.5000).



Entry 8:
Compound: Al2AgSb
Source: the Alexandria database
Functional: PBE-GGA
Structure: optimized geometry

For the density of states at the Fermi level, the calculation gives 3.1 states/eV/cell. The total energy comes out at -3.4254 eV/atom. As for the raw formation energy: 0.189 eV per atom.

The structure belongs to space group C2/m (No. 12); the cell edges are 5.6996, 10.9571 and 3.2554 Å and the angles 90.00°, 124.73° and 90.00°. The inequivalent atoms are Al at (0.2500, 0.2500, 0.0000), Ag at (0.0000, 0.0000, 0.0000) and Sb at (0.0000, 0.5000, 0.0000).



Entry 9:
Compound: ThScTiSn
Source: the Alexandria database
Functional: PBE-GGA
Structure: optimized geometry

For the density of states at the Fermi level, the calculation gives 18.1 states/eV/cell. The total energy comes out at -6.6075 eV/atom.

The structure belongs to space group F-43m (No. 216); the cell edges are 7.1312, 7.1312 and 7.1312 Å and the angles 90.00°, 90.00° and 90.00°. The inequivalent atoms are Th at (0.0000, 0.0000, 0.0000), Sc at (0.2500, 0.2500, 0.2500), Ti at (0.2500, 0.2500, 0.7500) and Sn at (0.0000, 0.0000, 0.5000).



Entry 10:
Compound: TbYPd
Source: the Alexandria database
Functional: PBE-GGA
Structure: optimized geometry

For the density of states at the Fermi level, the calculation gives 12.5 states/eV/cell. The energy relative to the lowest polymorph listed for this composition comes out at 0.107 eV/atom. The total energy comes out at -5.8905 eV/atom.

The structure belongs to space group F-43m (No. 216); the cell edges are 6.9359, 6.9359 and 6.9359 Å and the angles 90.00°, 90.00° and 90.00°. The inequivalent atoms are Tb at (0.0000, 0.0000, 0.0000), Y at (0.0000, 0.0000, 0.5000) and Pd at (0.2500, 0.2500, 0.2500).



Entry 11:
Compound: Pm2ScIn
Source: the Alexandria database
Functional: PBE-GGA
Structure: optimized geometry

For the density of states at the Fermi level, the calculation gives 5.1 states/eV/cell. The energy relative to the lowest polymorph listed for this composition comes out at 0.000 eV/atom. The total energy comes out at -4.9046 eV/atom.

The structure belongs to space group P4/mmm (No. 123); the cell edges are 4.7998, 4.7998 and 4.8575 Å and the angles 90.00°, 90.00° and 90.00°. The inequivalent atoms are Pm at (0.0000, 0.5000, 0.0000), Sc at (0.0000, 0.0000, 0.5000) and In at (0.5000, 0.5000, 0.5000).



Entry 12:
Compound: PaCoTe2
Source: the Alexandria database
Functional: PBE-GGA
Structure: optimized geometry

For the density of states at the Fermi level, the calculation gives 18.0 states/eV/cell. The energy relative to the lowest polymorph listed for this composition comes out at 0.740 eV/atom. The total energy comes out at -5.6224 eV/atom. As for the raw formation energy: 0.099 eV per atom.

The structure belongs to space group R-3m (No. 166, hexagonal axes); the cell edges are 3.4584, 3.4584 and 28.1177 Å and the angles 90.00°, 90.00° and 120.00°. The inequivalent atoms are Pa at (0.0000, 0.0000, 0.0000), Co at (0.0000, 0.0000, 0.5000) and Te at (0.0000, 0.0000, 0.1116).



Entry 13:
Compound: CaVSbSe2
Source: the Alexandria database
Functional: PBE-GGA
Structure: optimized geometry

For the density of states at the Fermi level, the calculation gives 7.7 states/eV/cell. The total energy comes out at -3.8413 eV/atom. As for the raw formation energy: 0.601 eV per atom.

The structure belongs to space group P4/mmm (No. 123); the cell edges are 5.4963, 5.4963 and 5.6276 Å and the angles 90.00°, 90.00° and 90.00°. The inequivalent atoms are Ca at (0.0000, 0.0000, 0.0000), V at (0.5000, 0.5000, 0.0000), Sb at (0.0000, 0.0000, 0.5000) and Se at (0.0000, 0.5000, 0.5000).



Entry 14:
Compound: Li6IrPd
Source: the Alexandria database
Functional: PBE-GGA
Structure: optimized geometry

For the density of states at the Fermi level, the calculation gives 2.2 states/eV/cell. The total energy comes out at -3.3132 eV/atom.

The structure belongs to space group P-1 (No. 2); the cell edges are 4.8327, 4.8377 and 4.8381 Å and the angles 89.86°, 88.75° and 88.70°. The inequivalent atoms are Li at (0.0004, 0.2448, 0.4990), Li at (0.2449, 0.4964, 0.0019), Li at (0.4987, 0.9993, 0.2451), Ir at (0.0000, 0.0000, 0.0000) and Pd at (0.5000, 0.5000, 0.5000).



Entry 15:
Compound: Ac3Cd3Ag8
Source: the Alexandria database
Functional: PBE-GGA
Structure: optimized geometry

For the density of states at the Fermi level, the calculation gives 15.5 states/eV/cell. The energy relative to the lowest polymorph listed for this composition comes out at 0.002 eV/atom. The total energy comes out at -2.9545 eV/atom.

The structure belongs to space group C2/m (No. 12); the cell edges are 17.1854, 4.8402 and 10.0060 Å and the angles 90.00°, 124.25° and 90.00°. The inequivalent atoms are Ac at (0.0000, 0.0000, 0.0000), Ac at (0.1952, 0.5000, 0.6829), Cd at (0.0000, 0.0000, 0.5000), Cd at (0.1718, 0.5000, 0.0224), Ag at (0.0007, 0.5000, 0.7000), Ag at (0.1250, 0.0000, 0.8402), Ag at (0.1290, 0.0000, 0.4044) and Ag at (0.1650, 0.5000, 0.2993).



Entry 16:
Compound: BaSr3Pd
Source: the Alexandria database
Functional: PBE-GGA
Structure: optimized geometry

For the density of states at the Fermi level, the calculation gives 14.1 states/eV/cell. The energy relative to the lowest polymorph listed for this composition comes out at 0.026 eV/atom. The total energy comes out at -2.7048 eV/atom.

The structure belongs to space group C2/m (No. 12); the cell edges are 25.8235, 6.1726 and 6.0970 Å and the angles 90.00°, 103.54° and 90.00°. The inequivalent atoms are Ba at (0.0655, 0.0000, 0.3155), Sr at (0.0642, 0.5000, 0.8142), Sr at (0.1889, 0.5000, 0.4386), Sr at (0.1931, 0.0000, 0.9431) and Pd at (0.1831, 0.5000, 0.9328).



Entry 17:
Compound: ErMoOs
Source: the Alexandria database
Functional: PBE-GGA
Structure: optimized geometry

For the density of states at the Fermi level, the calculation gives 37.5 states/eV/cell. The energy relative to the lowest polymorph listed for this composition comes out at 0.318 eV/atom. The total energy comes out at -8.7727 eV/atom.

The structure belongs to space group Fddd (No. 70, origin choice 2); the cell edges are 5.1454, 9.2490 and 19.0998 Å and the angles 90.00°, 90.00° and 90.00°. The inequivalent atoms are Er at (0.1250, 0.2916, 0.1250), Mo at (0.1250, 0.1250, 0.5484) and Os at (0.1250, 0.1250, 0.0002).



Entry 18:
Compound: BaInAs2O8
Source: the Alexandria database
Functional: PBE-GGA
Structure: optimized geometry

For the density of states at the Fermi level, the calculation gives 21.9 states/eV/cell. The total energy comes out at -5.9682 eV/atom. As for the raw formation energy: -1.499 eV per atom.

The structure belongs to space group R32 (No. 155, hexagonal axes); the cell edges are 5.1515, 5.1515 and 24.0486 Å and the angles 90.00°, 90.00° and 120.00°. The inequivalent atoms are Ba at (0.0000, 0.0000, 0.0000), In at (0.0000, 0.0000, 0.5000), As at (0.0000, 0.0000, 0.2437), O at (0.0000, 0.0000, 0.3151) and O at (0.0058, 0.3509, 0.8908).



Entry 19:
Compound: CdAs
Source: the Alexandria database
Functional: PBE-GGA
Structure: optimized geometry

For the density of states at the Fermi level, the calculation gives 3.4 states/eV/cell. The energy relative to the lowest polymorph listed for this composition comes out at 0.119 eV/atom. The total energy comes out at -2.7452 eV/atom.

The structure belongs to space group C2/m (No. 12); the cell edges are 8.5062, 3.7386 and 6.5221 Å and the angles 90.00°, 111.96° and 90.00°. The inequivalent atoms are Cd at (0.0926, 0.0000, 0.3565) and As at (0.1899, 0.5000, 0.8543).



Entry 20:
Compound: UGe2Rh
Source: the Alexandria database
Functional: PBE-GGA
Structure: optimized geometry

For the density of states at the Fermi level, the calculation gives 5.8 states/eV/cell. The total energy comes out at -7.2244 eV/atom.

The structure belongs to space group P4/mmm (No. 123); the cell edges are 3.1186, 3.1186 and 7.2154 Å and the angles 90.00°, 90.00° and 90.00°. The inequivalent atoms are U at (0.0000, 0.0000, 0.0000), Ge at (0.5000, 0.5000, 0.2915) and Rh at (0.0000, 0.0000, 0.5000).